1.
Entry from Alexandria via LeMat-Bulk: a geometry-optimized KIn3Pt2 structure (PBE).

Results
Mass density = 8.6 g cm⁻³
Electronic total energy = -3.95 eV per atom

Lattice parameters (Å, degrees): 11.786 8.745 5.788 90.00 90.00 90.00
Space group Cmcm (No. 63)
Unique sites:
K (0.000, 0.145, 0.250) x4
In (0.000, 0.439, 0.750) x4
In (0.194, 0.219, 0.750) x8
Pt (0.198, 0.500, 0.000) x8



2.
Entry from Alexandria via LeMat-Bulk: a geometry-optimized K4InPt structure (PBE).

Results
Mass density = 3.6 g cm⁻³
Electronic total energy = -1.71 eV per atom

Lattice parameters (Å, degrees): 9.525 9.525 9.525 90.00 90.00 90.00
Space group F-43m (No. 216)
Unique sites:
K (0.123, 0.123, 0.123) x16
In (0.000, 0.000, 0.500) x4
Pt (0.250, 0.250, 0.750) x4



3.
Entry from Alexandria via LeMat-Bulk: a geometry-optimized K2InPt2 structure (PBE).

Results
Mass density = 6.6 g cm⁻³
Electronic total energy = -2.73 eV per atom
Polymorph energy (0 for the lowest one) = 0.949 eV per atom

Lattice parameters (Å, degrees): 5.354 5.354 10.256 90.00 90.00 90.00
Space group I4/mmm (No. 139)
Unique sites:
K (0.000, 0.000, 0.135) x4
In (0.000, 0.000, 0.500) x2
Pt (0.000, 0.500, 0.250) x4



4.
Entry from Alexandria via LeMat-Bulk: a geometry-optimized K3In4Pt2 structure (PBE).

Results
Mass density = 5.5 g cm⁻³
Electronic total energy = -3.17 eV per atom

Lattice parameters (Å, degrees): 12.663 5.009 9.421 90.00 104.03 90.00
Space group C2/m (No. 12)
Unique sites:
K (0.000, 0.000, 0.000) x2
K (0.093, 0.500, 0.687) x4
In (0.155, 0.000, 0.419) x4
In (0.226, 0.500, 0.074) x4
Pt (0.179, 0.500, 0.332) x4



5.
Entry from Alexandria via LeMat-Bulk: a geometry-optimized KInPt2 structure (PBE).

Results
Mass density = 11.1 g cm⁻³
Electronic total energy = -3.77 eV per atom

Lattice parameters (Å, degrees): 6.887 6.887 6.887 90.00 90.00 90.00
Space group F-43m (No. 216)
Unique sites:
K (0.000, 0.000, 0.000) x4
In (0.250, 0.250, 0.750) x4
Pt (0.000, 0.000, 0.500) x4
Pt (0.250, 0.250, 0.250) x4



6.
Entry from Alexandria via LeMat-Bulk: a geometry-optimized K2InPt structure (PBE).

Results
Mass density = 5.7 g cm⁻³
Electronic total energy = -2.47 eV per atom

Lattice parameters (Å, degrees): 3.3837 3.3837 33.9196 90.00 90.00 120.00
Space group R-3m (No. 166, hexagonal axes)
Unique sites:
K (0.0000, 0.0000, 0.2408) x6
In (0.0000, 0.0000, 0.0000) x3
Pt (0.0000, 0.0000, 0.5000) x3



7.
Entry from Alexandria via LeMat-Bulk: a geometry-optimized KIn12Pt6 structure (PBE).

Results
Mass density = 9.8 g cm⁻³
Electronic total energy = -4.08 eV per atom

Lattice parameters (Å, degrees): 12.6477 12.6477 9.4847 90.00 90.00 120.00
Space group R-3m (No. 166, hexagonal axes)
Unique sites:
K (0.0000, 0.0000, 0.0000) x3
In (0.0000, 0.3797, 0.5000) x18
In (0.0866, 0.1731, 0.3307) x18
Pt (0.0486, 0.5243, 0.2586) x18



8.
Entry from Alexandria via LeMat-Bulk: a geometry-optimized KIn3Pt structure (PBE).

Results
Mass density = 4.9 g cm⁻³
Electronic total energy = -1.73 eV per atom
Polymorph energy (0 for the lowest one) = 1.663 eV per atom

Lattice parameters (Å, degrees): 5.829 5.829 5.829 90.00 90.00 90.00
Space group Pm-3m (No. 221)
Unique sites:
K (0.000, 0.000, 0.000) x1
In (0.000, 0.000, 0.500) x3
Pt (0.500, 0.500, 0.500) x1



| no. | E_form (eV/atom) |
| --- | --- |
| 1 | -0.388 |
| 2 | 0.489 |
| 3 | 0.671 |
| 4 | -0.245 |
| 5 | 0.206 |
| 6 | 0.270 |
| 7 | -0.387 |
| 8 | 1.344 |